a | First-principles (GGA-PBE) data for an optimized crystal structure of NaMgI2, as listed in Alexandria.

Results
The crystal system is cubic.

Cell lengths 7.9925, 7.9925, 7.9925 Å; angles 90.00, 90.00, 90.00 degrees
Last column: nearest neighbours and their distance in Å.
Space group Fm-3m (No. 225)
Unique sites:
Na  0.0000  0.0000  0.0000 x4  8 I 3.46
Mg  0.0000  0.0000  0.5000 x4  8 I 3.46
I  0.2500  0.2500  0.2500 x8  4 Na 3.46, 4 Mg 3.46

---

b | First-principles (GGA-PBE) data for an optimized crystal structure of NaMgI2, as listed in Alexandria.

Results
The crystal system is tetragonal.

Cell lengths 6.7333, 6.7333, 16.3072 Å; angles 90.00, 90.00, 90.00 degrees
Last column: nearest neighbours and their distance in Å.
Space group I-42d (No. 122)
Unique sites:
Na  0.0000  0.0000  0.0000 x4  4 I 3.21
Mg  0.0000  0.0000  0.5000 x4  4 I 3.06
I  0.2302  0.2500  0.6250 x8  2 Mg 3.06, 2 Na 3.21

---

It turns out b is the most stable, with the second structure 0.077 eV/atom higher.

---

a | First-principles (GGA-PBE) data for an optimized crystal structure of NaMgSbI2, as listed in Alexandria.

Results
The crystal system is tetragonal.

Cell lengths 5.9937, 5.9937, 5.6142 Å; angles 90.00, 90.00, 90.00 degrees
Last column: nearest neighbours and their distance in Å.
Space group P4/mmm (No. 123)
Unique sites:
Na  0.0000  0.0000  0.0000 x1  8 I 4.11, 4 Sb 4.24
Mg  0.5000  0.5000  0.5000 x1  2 Sb 2.81, 4 I 3.00
Sb  0.5000  0.5000  0.0000 x1  2 Mg 2.81
I  0.0000  0.5000  0.5000 x2  2 Mg 3.00

---

b | First-principles (GGA-PBE) data for an optimized crystal structure of NaMgSbI2, as listed in Alexandria.

Results
The crystal system is tetragonal.

Cell lengths 5.7905, 5.7905, 6.0602 Å; angles 90.00, 90.00, 90.00 degrees
Last column: nearest neighbours and their distance in Å.
Space group P4/mmm (No. 123)
Unique sites:
Na  0.0000  0.0000  0.0000 x1  4 I 2.90, 2 Sb 3.03
Mg  0.5000  0.5000  0.5000 x1  4 Sb 4.09, 8 I 4.19
Sb  0.0000  0.0000  0.5000 x1  2 Na 3.03
I  0.0000  0.5000  0.0000 x2  2 Na 2.90

---

It turns out a is the most stable, with the second structure 0.513 eV/atom higher.

---

a | First-principles (GGA-PBE) data for an optimized crystal structure of NaMgSb2I, as listed in Alexandria.

Results
The crystal system is tetragonal.

Cell lengths 5.4094, 5.4094, 6.2422 Å; angles 90.00, 90.00, 90.00 degrees
Last column: nearest neighbours and their distance in Å.
Space group P4/mmm (No. 123)
Unique sites:
Na  0.0000  0.0000  0.0000 x1  4 I 3.83, 8 Sb 4.13
Mg  0.5000  0.5000  0.5000 x1  4 Sb 2.70
Sb  0.0000  0.5000  0.5000 x2  2 Mg 2.70
I  0.5000  0.5000  0.0000 x1  2 Mg 3.12

---

b | First-principles (GGA-PBE) data for an optimized crystal structure of NaMgSb2I, as listed in Alexandria.

Results
The crystal system is tetragonal.

Cell lengths 5.5190, 5.5190, 5.7588 Å; angles 90.00, 90.00, 90.00 degrees
Last column: nearest neighbours and their distance in Å.
Space group P4/mmm (No. 123)
Unique sites:
Na  0.0000  0.0000  0.0000 x1  4 Sb 2.76, 2 I 2.88
Mg  0.5000  0.5000  0.5000 x1  4 I 3.90, 8 Sb 3.99
Sb  0.0000  0.5000  0.0000 x2  2 Na 2.76
I  0.0000  0.0000  0.5000 x1  2 Na 2.88

---

It turns out a is the most stable, with the second structure 0.496 eV/atom higher.

---

a | First-principles (GGA-PBE) data for an optimized crystal structure of NaMgTe2I, as listed in Alexandria.

Results
The crystal system is tetragonal.

Cell lengths 5.5368, 5.5368, 5.8686 Å; angles 90.00, 90.00, 90.00 degrees
Last column: nearest neighbours and their distance in Å.
Space group P4/mmm (No. 123)
Unique sites:
Na  0.0000  0.0000  0.0000 x1  4 Te 2.77, 2 I 2.93
Mg  0.5000  0.5000  0.5000 x1  4 I 3.92, 8 Te 4.03
Te  0.0000  0.5000  0.0000 x2  2 Na 2.77
I  0.0000  0.0000  0.5000 x1  2 Na 2.93

---

b | First-principles (GGA-PBE) data for an optimized crystal structure of NaMgTe2I, as listed in Alexandria.

Results
The crystal system is tetragonal.

Cell lengths 5.5032, 5.5032, 6.0821 Å; angles 90.00, 90.00, 90.00 degrees
Last column: nearest neighbours and their distance in Å.
Space group P4/mmm (No. 123)
Unique sites:
Na  0.0000  0.0000  0.0000 x1  4 I 3.89, 8 Te 4.10
Mg  0.5000  0.5000  0.5000 x1  4 Te 2.75, 2 I 3.04
Te  0.0000  0.5000  0.5000 x2  2 Mg 2.75
I  0.5000  0.5000  0.0000 x1  2 Mg 3.04

---

It turns out b is the most stable, with the second structure 0.596 eV/atom higher.

---

a | First-principles (GGA-PBE) data for an optimized crystal structure of NaMgTeI2, as listed in Alexandria.

Results
The crystal system is tetragonal.

Cell lengths 5.8616, 5.8616, 5.5592 Å; angles 90.00, 90.00, 90.00 degrees
Last column: nearest neighbours and their distance in Å.
Space group P4/mmm (No. 123)
Unique sites:
Na  0.0000  0.0000  0.0000 x1  8 I 4.04, 4 Te 4.14
Mg  0.5000  0.5000  0.5000 x1  2 Te 2.78, 4 I 2.93
Te  0.5000  0.5000  0.0000 x1  2 Mg 2.78
I  0.0000  0.5000  0.5000 x2  2 Mg 2.93

---

b | First-principles (GGA-PBE) data for an optimized crystal structure of NaMgTeI2, as listed in Alexandria.

Results
The crystal system is tetragonal.

Cell lengths 5.7215, 5.7215, 5.8967 Å; angles 90.00, 90.00, 90.00 degrees
Last column: nearest neighbours and their distance in Å.
Space group P4/mmm (No. 123)
Unique sites:
Na  0.0000  0.0000  0.0000 x1  4 I 2.86, 2 Te 2.95
Mg  0.5000  0.5000  0.5000 x1  4 Te 4.05, 8 I 4.11
Te  0.0000  0.0000  0.5000 x1  2 Na 2.95
I  0.0000  0.5000  0.0000 x2  2 Na 2.86

---

It turns out a is the most stable, with the second structure 0.610 eV/atom higher.

---

a | First-principles (GGA-PBE) data for an optimized crystal structure of Mg2NbI, as listed in Alexandria.

Results
The crystal system is cubic.

Cell lengths 7.2898, 7.2898, 7.2898 Å; angles 90.00, 90.00, 90.00 degrees
Last column: nearest neighbours and their distance in Å.
Space group Fm-3m (No. 225)
Unique sites:
Mg  0.2500  0.2500  0.2500 x8  4 Nb 3.16, 4 I 3.16
Nb  0.0000  0.0000  0.0000 x4  8 Mg 3.16
I  0.0000  0.0000  0.5000 x4  8 Mg 3.16

---

b | First-principles (GGA-PBE) data for an optimized crystal structure of Mg2NbI, as listed in Alexandria.

Results
The crystal system is tetragonal.

Cell lengths 8.1341, 8.1341, 5.9668 Å; angles 90.00, 90.00, 90.00 degrees
Last column: nearest neighbours and their distance in Å.
Space group I-42d (No. 122)
Unique sites:
Mg  0.2498  0.2500  0.1250 x8  2 Nb 2.97, 2 I 2.97, 2 Mg 2.98
Nb  0.0000  0.0000  0.0000 x4  4 Mg 2.97, 2 I 2.98
I  0.0000  0.0000  0.5000 x4  4 Mg 2.97, 2 Nb 2.98

---

It turns out b is the most stable, with the second structure 0.141 eV/atom higher.

---

a | First-principles (GGA-PBE) data for an optimized crystal structure of MgNbI2, as listed in Alexandria.

Results
The crystal system is cubic.

Cell lengths 7.1734, 7.1734, 7.1734 Å; angles 90.00, 90.00, 90.00 degrees
Last column: nearest neighbours and their distance in Å.
Space group Fm-3m (No. 225)
Unique sites:
Mg  0.0000  0.0000  0.0000 x4  8 I 3.11
Nb  0.0000  0.0000  0.5000 x4  8 I 3.11
I  0.2500  0.2500  0.2500 x8  4 Nb 3.11, 4 Mg 3.11

---

b | First-principles (GGA-PBE) data for an optimized crystal structure of MgNbI2, as listed in Alexandria.

Results
The crystal system is tetragonal.

Cell lengths 10.1040, 10.1040, 5.8174 Å; angles 90.00, 90.00, 90.00 degrees
Last column: nearest neighbours and their distance in Å.
Space group I-42d (No. 122)
Unique sites:
Mg  0.0000  0.0000  0.0000 x4  2 Nb 2.91
Nb  0.0000  0.0000  0.5000 x4  4 I 2.84, 2 Mg 2.91
I  0.1061  0.2500  0.6250 x8  2 Nb 2.84

---

It turns out b is the most stable, with the second structure 0.126 eV/atom higher.

---

a | First-principles (GGA-PBE) data for an optimized crystal structure of MgNb2I, as listed in Alexandria.

Results
The crystal system is cubic.

Cell lengths 6.8143, 6.8143, 6.8143 Å; angles 90.00, 90.00, 90.00 degrees
Last column: nearest neighbours and their distance in Å.
Space group Fm-3m (No. 225)
Unique sites:
Mg  0.0000  0.0000  0.0000 x4  8 Nb 2.95
Nb  0.2500  0.2500  0.2500 x8  4 Mg 2.95, 4 I 2.95
I  0.0000  0.0000  0.5000 x4  8 Nb 2.95

---

b | First-principles (GGA-PBE) data for an optimized crystal structure of MgNb2I, as listed in Alexandria.

Results
The crystal system is tetragonal.

Cell lengths 4.0720, 4.0720, 20.8988 Å; angles 90.00, 90.00, 90.00 degrees
Last column: nearest neighbours and their distance in Å.
Space group I-42d (No. 122)
Unique sites:
Mg  0.0000  0.0000  0.0000 x4  4 I 2.88, 4 Nb 2.97
Nb  0.2430  0.2500  0.1250 x8  4 Nb 2.84-2.92, 2 Mg 2.97, 2 I 2.99
I  0.0000  0.0000  0.5000 x4  4 Mg 2.88, 4 Nb 2.99

---

It turns out b is the most stable, with the second structure 0.158 eV/atom higher.

---

a | First-principles (GGA-PBE) data for an optimized crystal structure of MgNbTe2I, as listed in Alexandria.

Results
The crystal system is tetragonal.

Cell lengths 5.4139, 5.4139, 5.4561 Å; angles 90.00, 90.00, 90.00 degrees
Last column: nearest neighbours and their distance in Å.
Space group P4/mmm (No. 123)
Unique sites:
Mg  0.0000  0.0000  0.0000 x1  4 Te 2.71, 2 I 2.73
Nb  0.5000  0.5000  0.5000 x1  4 I 3.83, 8 Te 3.84
Te  0.0000  0.5000  0.0000 x2  2 Mg 2.71
I  0.0000  0.0000  0.5000 x1  2 Mg 2.73

---

b | First-principles (GGA-PBE) data for an optimized crystal structure of MgNbTe2I, as listed in Alexandria.

Results
The crystal system is tetragonal.

Cell lengths 5.4436, 5.4436, 5.6864 Å; angles 90.00, 90.00, 90.00 degrees
Last column: nearest neighbours and their distance in Å.
Space group P4/mmm (No. 123)
Unique sites:
Mg  0.0000  0.0000  0.0000 x1  4 I 3.85, 8 Te 3.94
Nb  0.5000  0.5000  0.5000 x1  4 Te 2.72, 2 I 2.84
Te  0.0000  0.5000  0.5000 x2  2 Nb 2.72
I  0.5000  0.5000  0.0000 x1  2 Nb 2.84

---

It turns out b is the most stable, with the second structure 0.521 eV/atom higher.